(1)
A crystal of MgCrPt4 relaxed with PBEsol, computed with meta-GGA SCAN.

- crystal system = cubic
- electronic total energy (eV per atom) = -51.105
- theoretical density (g/cm3) = 14.2
- ΔE_f (eV/atom) = -0.42
- magnetic moment (μB/cell) = 4.56

Lattice parameters (Å, degrees): 5.2087 5.2087 5.2087 60.00 60.00 60.00
Closest atoms and distances in Å follow each position.
Sites, in units of the cell vectors:
Cr (0.7500, 0.7500, 0.7500)  12 Pt 3.05, 4 Mg 3.19
Mg (0.0000, 0.0000, 0.0000)  12 Pt 3.05, 4 Cr 3.19
Pt (0.3751, 0.3751, 0.3751)  6 Pt 2.60-2.61
Pt (0.3751, 0.3751, 0.8747)  6 Pt 2.60-2.61
Pt (0.8747, 0.3751, 0.3751)  6 Pt 2.60-2.61
Pt (0.3751, 0.8747, 0.3751)  6 Pt 2.60-2.61

(2)
A crystal of LaTi3Se relaxed with PBEsol, computed with meta-GGA SCAN.

- formation energy from raw total energies (eV/atom) = -0.076
- crystal system = cubic
- electronic total energy (eV per atom) = -22.331
- theoretical density (g/cm3) = 5.5
- magnetic moment (μB/cell) = 1.08

Lattice parameters (Å, degrees): 4.7860 4.7860 4.7860 90.00 90.00 90.00
Closest atoms and distances in Å follow each position.
Sites, in units of the cell vectors:
Ti (0.0000, 0.5000, 0.0000)  2 Se 2.39
Ti (0.0000, 0.0000, 0.5000)  2 Se 2.39
Ti (0.5000, 0.0000, 0.0000)  2 Se 2.39
Se (0.0000, 0.0000, 0.0000)  6 Ti 2.39
La (0.5000, 0.5000, 0.5000)  12 Ti 3.38

(3)
A crystal of PmSbRh2 relaxed with PBEsol, computed with meta-GGA SCAN.

- formation energy from raw total energies (eV/atom) = -0.694
- crystal system = cubic
- electronic total energy (eV per atom) = -37.891
- theoretical density (g/cm3) = 10.6
- magnetic moment (μB/cell) = 0.16

Lattice parameters (Å, degrees): 4.7074 4.7074 4.7074 60.00 60.00 60.00
Closest atoms and distances in Å follow each position.
Sites, in units of the cell vectors:
Sb (0.0000, 0.0000, 0.0000)  8 Rh 2.88
Rh (0.2500, 0.2500, 0.2500)  4 Sb 2.88, 4 Pm 2.88
Rh (0.7500, 0.7500, 0.7500)  4 Pm 2.88, 4 Sb 2.88
Pm (0.5000, 0.5000, 0.5000)  8 Rh 2.88

(4)
A crystal of LiMoOs2 relaxed with PBEsol, computed with meta-GGA SCAN.

- crystal system = monoclinic
- electronic total energy (eV per atom) = -45.014
- offset from the most stable computed form (eV/f.u.) = 0.876
- theoretical density (g/cm3) = 14.3
- ΔE_f (eV/atom) = 0.24
- magnetic moment (μB/cell) = 0.00

Lattice parameters (Å, degrees): 2.6902 4.6220 4.7930 99.87 106.30 90.00
Closest atoms and distances in Å follow each position.
Sites, in units of the cell vectors:
Li (0.5040, 0.4999, 0.0079)  3 Mo 2.62-2.85, 7 Os 2.64-2.82, 2 Li 2.69
Mo (0.7381, 0.2492, 0.4763)  3 Li 2.62-2.85, 7 Os 2.66-2.84, 2 Mo 2.69
Os (0.9947, 0.9868, 0.9895)  5 Os 2.57-2.84, 4 Li 2.64-2.71, 3 Mo 2.71-2.84
Os (0.2632, 0.7641, 0.5263)  5 Os 2.57-2.84, 4 Mo 2.66-2.71, 3 Li 2.71-2.82

(5)
A crystal of BaP3Os relaxed with PBEsol, computed with meta-GGA SCAN.

- crystal system = cubic
- electronic total energy (eV per atom) = -28.508
- theoretical density (g/cm3) = 6.7
- ΔE_f (eV/atom) = 0.02
- magnetic moment (μB/cell) = 0.00

Lattice parameters (Å, degrees): 4.7168 4.7168 4.7168 90.00 90.00 90.00
Closest atoms and distances in Å follow each position.
Sites, in units of the cell vectors:
P (0.0000, 0.5000, 0.0000)  2 Os 2.36
P (0.0000, 0.0000, 0.5000)  2 Os 2.36
P (0.5000, 0.0000, 0.0000)  2 Os 2.36
Os (0.0000, 0.0000, 0.0000)  6 P 2.36
Ba (0.5000, 0.5000, 0.5000)  12 P 3.34

(6)
A crystal of K2ZrTl relaxed with PBEsol, computed with meta-GGA SCAN.

- crystal system = orthorhombic
- electronic total energy (eV per atom) = -29.400
- offset from the most stable computed form (eV/f.u.) = 0.442
- theoretical density (g/cm3) = 4.9
- ΔE_f (eV/atom) = 0.53
- magnetic moment (μB/cell) = 2.40

Lattice parameters (Å, degrees): 3.1993 6.3542 6.9522 117.19 90.00 90.00
Closest atoms and distances in Å follow each position.
Sites, in units of the cell vectors:
K (0.0000, 0.0000, 0.5000)  4 K 3.18-3.20
K (0.0000, 0.5000, 0.5000)  4 K 3.18-3.20
Tl (0.5000, 0.0000, 0.0000)  2 Zr 3.18, 2 Tl 3.20
Zr (0.5000, 0.5000, 0.0000)  2 Tl 3.18, 2 Zr 3.20